# V2IBr8, relaxed, DFT PBE
# **Calculated volume**: 468.5 Å³/cell
# **Space group**: C2/m, No. 12
# **VASP energy**: -3.66 eV/atom
# **Energy relative to the elements, uncorrected**: -0.649 eV/atom
data_V2IBr8
_chemical_formula_sum 'V2 I1 Br8'
_cell_length_a 9.379
_cell_length_b 8.075
_cell_length_c 8.075
_cell_angle_alpha 55.63
_cell_angle_beta 70.77
_cell_angle_gamma 70.77
_symmetry_space_group_name_H-M 'P 1'
_symmetry_Int_Tables_number 1
loop_
_symmetry_equiv_pos_as_xyz
'x,y,z'
loop_
_atom_site_label
_atom_site_fract_x
_atom_site_fract_y
_atom_site_fract_z
Br1 0.776 0.620 0.095
Br2 0.776 0.095 0.620
Br3 0.569 0.153 0.153
Br4 0.431 0.847 0.847
Br5 0.806 0.622 0.622
I1 0.000 0.000 0.000
Br6 0.194 0.378 0.378
V1 0.307 0.207 0.207
V2 0.693 0.793 0.793
Br7 0.224 0.905 0.380
Br8 0.224 0.380 0.905